(1)
The following is a DFT calculation (PBE) of Sc2MnSn after structural relaxation.

Computed properties:
V ... 21.454 Å³ per atom
E_form ... 0.1442 eV per atom

Cell lengths 7.612, 7.612, 5.925 Å; angles 90.00, 90.00, 90.00 degrees
Space group I-42d (No. 122)
Inequivalent atoms, fractional coordinates:
Sc1 0.219 0.250 0.125
Mn1 0.000 0.000 0.000
Sn1 0.000 0.000 0.500

***

(2)
The following is a DFT calculation (PBE) of HfMgI3 after structural relaxation.

Computed properties:
Raw formation energy ... -0.182 eV/atom
V ... 37.341 Å³ per atom
Excess energy over the best structure of this formula in the dataset ... 0.00 eV per formula unit

Cell lengths 5.715, 5.715, 5.715 Å; angles 90.00, 90.00, 90.00 degrees
Space group Pm-3m (No. 221)
Inequivalent atoms, fractional coordinates:
Hf1 0.000 0.000 0.000
Mg1 0.500 0.500 0.500
I1 0.000 0.000 0.500

***

Look up the V of the first one.
21.454 Å³ per atom